a) Computed, not measured: crystalline LiCa3Au at its relaxed geometry at the GGA-PBE level of DFT.

a = 4.6901 Å, b = 9.4179 Å, c = 6.8464 Å
α = 90.00°, β = 90.00°, γ = 90.00°
With the nearest neighbours (Å) after each atom.
Atoms (fractional coordinates):
Li (0.2500, 0.2500, 0.0860)  1 Au 2.65
Li (0.7500, 0.7500, 0.9140)  1 Au 2.65
Ca (0.2500, 0.5493, 0.7142)  3 Au 3.26-3.27, 2 Li 3.31
Ca (0.2500, 0.7500, 0.2424)  2 Au 3.05, 2 Li 3.25
Ca (0.2500, 0.9507, 0.7142)  3 Au 3.26-3.27, 2 Li 3.31
Ca (0.7500, 0.0493, 0.2858)  3 Au 3.26-3.27, 2 Li 3.31
Ca (0.7500, 0.2500, 0.7576)  2 Au 3.05, 2 Li 3.25
Ca (0.7500, 0.4507, 0.2858)  3 Au 3.26-3.27, 2 Li 3.31
Au (0.2500, 0.2500, 0.4735)  1 Li 2.65
Au (0.7500, 0.7500, 0.5265)  1 Li 2.65

Calculated values
**SG**: Pmmn (59)
**Density**: 3.6 g/cm³

b) Computed, not measured: crystalline LiCa3Au at its relaxed geometry at the GGA-PBE level of DFT.

a = 5.7602 Å, b = 5.7602 Å, c = 5.7602 Å
α = 90.00°, β = 90.00°, γ = 90.00°
With the nearest neighbours (Å) after each atom.
Atoms (fractional coordinates):
Li (0.0000, 0.0000, 0.0000)  12 Ca 4.07
Ca (0.0000, 0.5000, 0.5000)  2 Au 2.88
Ca (0.5000, 0.0000, 0.5000)  2 Au 2.88
Ca (0.5000, 0.5000, 0.0000)  2 Au 2.88
Au (0.5000, 0.5000, 0.5000)  6 Ca 2.88

Calculated values
**SG**: Pm-3m (221)
**Density**: 2.8 g/cm³

Energies, relative to the best one, in eV/atom: a) 0.000; b) 0.095.

a) Computed, not measured: crystalline Li3CaAu3 at its relaxed geometry at the GGA-PBE level of DFT.

a = 7.7759 Å, b = 7.7759 Å, c = 7.7759 Å
α = 53.17°, β = 53.17°, γ = 53.17°
With the nearest neighbours (Å) after each atom.
Atoms (fractional coordinates):
Li (0.0650, 0.5892, 0.2381)  4 Au 2.66-2.93, 2 Li 2.74
Li (0.2381, 0.0650, 0.5892)  4 Au 2.66-2.93, 2 Li 2.74
Li (0.4108, 0.7619, 0.9350)  4 Au 2.66-2.93, 2 Li 2.74
Li (0.5892, 0.2381, 0.0650)  4 Au 2.66-2.93, 2 Li 2.74
Li (0.7619, 0.9350, 0.4108)  4 Au 2.66-2.93, 2 Li 2.74
Li (0.9350, 0.4108, 0.7619)  4 Au 2.66-2.93, 2 Li 2.74
Ca (0.1600, 0.1600, 0.1600)  6 Au 2.98-3.10, 3 Li 3.31
Ca (0.8400, 0.8400, 0.8400)  6 Au 2.98-3.10, 3 Li 3.31
Au (0.1909, 0.6703, 0.4312)  4 Li 2.66-2.93, 2 Au 2.89, 1 Ca 2.98
Au (0.3297, 0.5688, 0.8091)  4 Li 2.66-2.93, 2 Au 2.89, 1 Ca 2.98
Au (0.4312, 0.1909, 0.6703)  4 Li 2.66-2.93, 2 Au 2.89, 1 Ca 2.98
Au (0.5688, 0.8091, 0.3297)  4 Li 2.66-2.93, 2 Au 2.89, 1 Ca 2.98
Au (0.6703, 0.4312, 0.1909)  4 Li 2.66-2.93, 2 Au 2.89, 1 Ca 2.98
Au (0.8091, 0.3297, 0.5688)  4 Li 2.66-2.93, 2 Au 2.89, 1 Ca 2.98

Calculated values
**SG**: R-3 (148)
**Density**: 7.8 g/cm³

b) Computed, not measured: crystalline Li3CaAu3 at its relaxed geometry at the GGA-PBE level of DFT.

a = 6.8695 Å, b = 6.8695 Å, c = 6.8695 Å
α = 90.00°, β = 90.00°, γ = 90.00°
With the nearest neighbours (Å) after each atom.
Atoms (fractional coordinates):
Li (0.0000, 0.2500, 0.5000)  4 Au 2.43
Li (0.0000, 0.7500, 0.5000)  4 Au 2.43
Li (0.2500, 0.5000, 0.0000)  4 Au 2.43
Li (0.5000, 0.0000, 0.2500)  4 Au 2.43
Li (0.5000, 0.0000, 0.7500)  4 Au 2.43
Li (0.7500, 0.5000, 0.0000)  4 Au 2.43
Ca (0.0000, 0.0000, 0.0000)  12 Li 3.84, 12 Au 3.84
Ca (0.5000, 0.5000, 0.5000)  12 Li 3.84, 12 Au 3.84
Au (0.0000, 0.5000, 0.2500)  4 Li 2.43
Au (0.0000, 0.5000, 0.7500)  4 Li 2.43
Au (0.2500, 0.0000, 0.5000)  4 Li 2.43
Au (0.5000, 0.2500, 0.0000)  4 Li 2.43
Au (0.5000, 0.7500, 0.0000)  4 Li 2.43
Au (0.7500, 0.0000, 0.5000)  4 Li 2.43

Calculated values
**SG**: Pm-3n (223)
**Density**: 6.7 g/cm³

Energies, relative to the best one, in eV/atom: a) 0.000; b) 0.256.

a) Computed, not measured: crystalline LiCa2Au3 at its relaxed geometry at the GGA-PBE level of DFT.

a = 4.6628 Å, b = 4.6628 Å, c = 14.7799 Å
α = 90.00°, β = 90.00°, γ = 120.00°
With the nearest neighbours (Å) after each atom.
Atoms (fractional coordinates):
Li (0.3333, 0.6667, 0.2500)  3 Au 2.69
Li (0.6667, 0.3333, 0.7500)  3 Au 2.69
Ca (0.0000, 0.0000, 0.1213)  9 Au 3.08-3.41, 3 Li 3.30
Ca (0.0000, 0.0000, 0.3787)  9 Au 3.08-3.41, 3 Li 3.30
Ca (0.0000, 0.0000, 0.6213)  9 Au 3.08-3.41, 3 Li 3.30
Ca (0.0000, 0.0000, 0.8787)  9 Au 3.08-3.41, 3 Li 3.30
Au (0.3333, 0.6667, 0.0202)  3 Au 2.76, 3 Ca 3.08
Au (0.3333, 0.6667, 0.4798)  3 Au 2.76, 3 Ca 3.08
Au (0.3333, 0.6667, 0.7500)  3 Li 2.69
Au (0.6667, 0.3333, 0.2500)  3 Li 2.69
Au (0.6667, 0.3333, 0.5202)  3 Au 2.76, 3 Ca 3.08
Au (0.6667, 0.3333, 0.9798)  3 Au 2.76, 3 Ca 3.08

Calculated values
**SG**: P6_3/mmc (194)
**Density**: 8.1 g/cm³

b) Computed, not measured: crystalline LiCa2Au3 at its relaxed geometry at the GGA-PBE level of DFT.

a = 9.2935 Å, b = 8.8230 Å, c = 5.9133 Å
α = 75.32°, β = 66.69°, γ = 37.99°
With the nearest neighbours (Å) after each atom.
Atoms (fractional coordinates):
Li (0.1679, 0.1679, 0.8321)  3 Au 2.55
Li (0.8321, 0.8321, 0.1679)  3 Au 2.55
Ca (0.2500, 0.2500, 0.2500)  8 Au 3.18-3.20, 4 Li 3.24
Ca (0.2511, 0.7489, 0.7489)  10 Au 3.18-3.37, 2 Li 3.26
Ca (0.7489, 0.2511, 0.2511)  10 Au 3.18-3.37, 2 Li 3.26
Ca (0.7500, 0.7500, 0.7500)  8 Au 3.18-3.20, 4 Li 3.24
Au (0.1478, 0.6770, 0.3230)  1 Li 2.55, 2 Au 2.82-2.83
Au (0.3230, 0.8522, 0.1478)  1 Li 2.55, 2 Au 2.82-2.83
Au (0.3264, 0.3264, 0.6736)  1 Li 2.55, 2 Au 2.83
Au (0.6736, 0.6736, 0.3264)  1 Li 2.55, 2 Au 2.83
Au (0.6770, 0.1478, 0.8522)  1 Li 2.55, 2 Au 2.82-2.83
Au (0.8522, 0.3230, 0.6770)  1 Li 2.55, 2 Au 2.82-2.83

Calculated values
**SG**: Fmmm (69)
**Density**: 8.3 g/cm³

Energies, relative to the best one, in eV/atom: a) 0.037; b) 0.000.

a) Computed, not measured: crystalline LiCa2MgAu at its relaxed geometry at the GGA-PBE level of DFT.

a = 5.7417 Å, b = 5.7417 Å, c = 5.1519 Å
α = 90.00°, β = 90.00°, γ = 90.00°
With the nearest neighbours (Å) after each atom.
Atoms (fractional coordinates):
Li (0.0000, 0.0000, 0.0000)  8 Ca 3.86, 4 Mg 4.06
Ca (0.0000, 0.5000, 0.5000)  2 Au 2.87
Ca (0.5000, 0.0000, 0.5000)  2 Au 2.87
Mg (0.5000, 0.5000, 0.0000)  2 Au 2.58
Au (0.5000, 0.5000, 0.5000)  2 Mg 2.58, 4 Ca 2.87

Calculated values
**SG**: P4/mmm (123)
**Density**: 3.0 g/cm³

b) Computed, not measured: crystalline LiCa2MgAu at its relaxed geometry at the GGA-PBE level of DFT.

a = 5.7186 Å, b = 5.7186 Å, c = 4.9030 Å
α = 90.00°, β = 90.00°, γ = 90.00°
With the nearest neighbours (Å) after each atom.
Atoms (fractional coordinates):
Li (0.0000, 0.0000, 0.0000)  2 Au 2.45
Ca (0.0000, 0.5000, 0.5000)  2 Au 2.86
Ca (0.5000, 0.0000, 0.5000)  2 Au 2.86
Mg (0.5000, 0.5000, 0.0000)  8 Ca 3.77, 4 Li 4.04
Au (0.0000, 0.0000, 0.5000)  2 Li 2.45

Calculated values
**SG**: P4/mmm (123)
**Density**: 3.2 g/cm³

Energies, relative to the best one, in eV/atom: a) 0.000; b) 0.015.

a) Computed, not measured: crystalline RbLiCa2Au at its relaxed geometry at the GGA-PBE level of DFT.

a = 5.8265 Å, b = 5.8265 Å, c = 6.0296 Å
α = 90.00°, β = 90.00°, γ = 90.00°
With the nearest neighbours (Å) after each atom.
Atoms (fractional coordinates):
Rb (0.0000, 0.0000, 0.0000)  2 Li 3.01
Li (0.0000, 0.0000, 0.5000)  4 Ca 2.91, 2 Rb 3.01
Ca (0.0000, 0.5000, 0.5000)  2 Li 2.91
Ca (0.5000, 0.0000, 0.5000)  2 Li 2.91
Au (0.5000, 0.5000, 0.0000)  4 Rb 4.12, 8 Ca 4.19

Calculated values
**SG**: P4/mmm (123)
**Density**: 3.0 g/cm³

b) Computed, not measured: crystalline RbLiCa2Au at its relaxed geometry at the GGA-PBE level of DFT.

a = 5.8363 Å, b = 5.8363 Å, c = 5.6084 Å
α = 90.00°, β = 90.00°, γ = 90.00°
With the nearest neighbours (Å) after each atom.
Atoms (fractional coordinates):
Rb (0.0000, 0.0000, 0.0000)  8 Ca 4.05, 4 Li 4.13
Li (0.5000, 0.5000, 0.0000)  2 Au 2.80
Ca (0.0000, 0.5000, 0.5000)  2 Au 2.92
Ca (0.5000, 0.0000, 0.5000)  2 Au 2.92
Au (0.5000, 0.5000, 0.5000)  2 Li 2.80, 4 Ca 2.92

Calculated values
**SG**: P4/mmm (123)
**Density**: 3.2 g/cm³

Energies, relative to the best one, in eV/atom: a) 0.538; b) 0.000.

a) Computed, not measured: crystalline SrLiCa2Au at its relaxed geometry at the GGA-PBE level of DFT.

a = 5.7769 Å, b = 5.7769 Å, c = 6.0582 Å
α = 90.00°, β = 90.00°, γ = 90.00°
With the nearest neighbours (Å) after each atom.
Atoms (fractional coordinates):
Sr (0.0000, 0.0000, 0.0000)  2 Au 3.03
Li (0.5000, 0.5000, 0.0000)  4 Sr 4.08, 8 Ca 4.19
Ca (0.0000, 0.5000, 0.5000)  2 Au 2.89
Ca (0.5000, 0.0000, 0.5000)  2 Au 2.89
Au (0.0000, 0.0000, 0.5000)  4 Ca 2.89, 2 Sr 3.03

Calculated values
**SG**: P4/mmm (123)
**Density**: 3.1 g/cm³

b) Computed, not measured: crystalline SrLiCa2Au at its relaxed geometry at the GGA-PBE level of DFT.

a = 5.7942 Å, b = 5.7942 Å, c = 5.3390 Å
α = 90.00°, β = 90.00°, γ = 90.00°
With the nearest neighbours (Å) after each atom.
Atoms (fractional coordinates):
Sr (0.0000, 0.0000, 0.0000)  8 Ca 3.94, 4 Li 4.10
Li (0.5000, 0.5000, 0.0000)  2 Au 2.67
Ca (0.0000, 0.5000, 0.5000)  2 Au 2.90
Ca (0.5000, 0.0000, 0.5000)  2 Au 2.90
Au (0.5000, 0.5000, 0.5000)  2 Li 2.67, 4 Ca 2.90

Calculated values
**SG**: P4/mmm (123)
**Density**: 3.4 g/cm³

Energies, relative to the best one, in eV/atom: a) 0.000; b) 0.010.

a) Computed, not measured: crystalline CaMg2Au6 at its relaxed geometry at the GGA-PBE level of DFT.

a = 8.3034 Å, b = 8.3034 Å, c = 8.3034 Å
α = 156.90°, β = 124.72°, γ = 60.70°
With the nearest neighbours (Å) after each atom.
Atoms (fractional coordinates):
Ca (0.0000, 0.0000, 0.0000)  12 Au 3.00-3.35, 2 Ca 3.32
Mg (0.3550, 0.8550, 0.5000)  10 Au 2.92-2.99
Mg (0.6450, 0.1450, 0.5000)  10 Au 2.92-2.99
Au (0.0072, 0.3232, 0.6839)  4 Au 2.75-2.86, 3 Mg 2.92-2.98
Au (0.3243, 0.5000, 0.8243)  3 Au 2.71-2.75, 4 Mg 2.99, 2 Ca 3.00
Au (0.3607, 0.6768, 0.6839)  4 Au 2.75-2.86, 3 Mg 2.92-2.98
Au (0.6393, 0.3232, 0.3161)  4 Au 2.75-2.86, 3 Mg 2.92-2.98
Au (0.6757, 0.5000, 0.1757)  3 Au 2.71-2.75, 4 Mg 2.99, 2 Ca 3.00
Au (0.9928, 0.6768, 0.3161)  4 Au 2.75-2.86, 3 Mg 2.92-2.98

Calculated values
**SG**: Immm (71)
**Density**: 11.5 g/cm³

b) Computed, not measured: crystalline CaMg2Au6 at its relaxed geometry at the GGA-PBE level of DFT.

a = 8.5216 Å, b = 8.5216 Å, c = 5.1101 Å
α = 97.91°, β = 97.91°, γ = 70.86°
With the nearest neighbours (Å) after each atom.
Atoms (fractional coordinates):
Ca (0.1233, 0.8767, 0.7500)  10 Au 2.99-3.14
Ca (0.8767, 0.1233, 0.2500)  10 Au 2.99-3.14
Mg (0.2115, 0.4612, 0.9025)  10 Au 2.79-3.03
Mg (0.4612, 0.2115, 0.4025)  10 Au 2.79-3.03
Mg (0.5388, 0.7885, 0.5975)  10 Au 2.79-3.03
Mg (0.7885, 0.5388, 0.0975)  10 Au 2.79-3.03
Au (0.0110, 0.7376, 0.1932)  2 Mg 2.79-2.89, 4 Au 2.86-2.94, 3 Ca 3.08-3.09
Au (0.1073, 0.3516, 0.3509)  4 Mg 2.85-2.96, 5 Au 2.91-2.96, 1 Ca 3.14
Au (0.2624, 0.9890, 0.3068)  2 Mg 2.79-2.89, 4 Au 2.86-2.94, 3 Ca 3.08-3.09
Au (0.3242, 0.5607, 0.4609)  4 Mg 2.81-3.03, 5 Au 2.82-3.11, 1 Ca 2.99
Au (0.3516, 0.1073, 0.8509)  4 Mg 2.85-2.96, 5 Au 2.91-2.96, 1 Ca 3.14
Au (0.4393, 0.6758, 0.0391)  4 Mg 2.81-3.03, 5 Au 2.82-3.11, 1 Ca 2.99
Au (0.5607, 0.3242, 0.9609)  4 Mg 2.81-3.03, 5 Au 2.82-3.11, 1 Ca 2.99
Au (0.6484, 0.8927, 0.1491)  4 Mg 2.85-2.96, 5 Au 2.91-2.96, 1 Ca 3.14
Au (0.6758, 0.4393, 0.5391)  4 Mg 2.81-3.03, 5 Au 2.82-3.11, 1 Ca 2.99
Au (0.7376, 0.0110, 0.6932)  2 Mg 2.79-2.89, 4 Au 2.86-2.94, 3 Ca 3.08-3.09
Au (0.8927, 0.6484, 0.6491)  4 Mg 2.85-2.96, 5 Au 2.91-2.96, 1 Ca 3.14
Au (0.9890, 0.2624, 0.8068)  2 Mg 2.79-2.89, 4 Au 2.86-2.94, 3 Ca 3.08-3.09

Calculated values
**SG**: C2/c (15)
**Density**: 12.2 g/cm³

Energies, relative to the best one, in eV/atom: a) 0.024; b) 0.000.

a) Computed, not measured: crystalline CaMg2Au4 at its relaxed geometry at the GGA-PBE level of DFT.

a = 9.9001 Å, b = 9.9001 Å, c = 9.9001 Å
α = 159.54°, β = 154.17°, γ = 33.17°
With the nearest neighbours (Å) after each atom.
Atoms (fractional coordinates):
Ca (0.0000, 0.0000, 0.0000)  8 Au 3.15, 2 Ca 3.52
Mg (0.3078, 0.8078, 0.5000)  7 Au 2.71-2.87
Mg (0.6922, 0.1922, 0.5000)  7 Au 2.71-2.87
Au (0.1647, 0.6647, 0.5000)  5 Mg 2.71-2.87, 2 Au 2.82
Au (0.4272, 0.4272, 0.0000)  3 Au 2.76-2.82, 2 Mg 2.87
Au (0.5728, 0.5728, 0.0000)  3 Au 2.76-2.82, 2 Mg 2.87
Au (0.8353, 0.3353, 0.5000)  5 Mg 2.71-2.87, 2 Au 2.82

Calculated values
**SG**: Immm (71)
**Density**: 9.9 g/cm³

b) Computed, not measured: crystalline CaMg2Au4 at its relaxed geometry at the GGA-PBE level of DFT.

a = 5.7412 Å, b = 5.7412 Å, c = 5.7412 Å
α = 103.97°, β = 103.97°, γ = 121.15°
With the nearest neighbours (Å) after each atom.
Atoms (fractional coordinates):
Ca (0.0000, 0.0000, 0.0000)  4 Au 2.99
Mg (0.2500, 0.7500, 0.5000)  2 Mg 2.82, 8 Au 2.91
Mg (0.7500, 0.2500, 0.5000)  2 Mg 2.82, 8 Au 2.91
Au (0.2994, 0.2994, 0.5988)  4 Au 2.84-2.99, 4 Mg 2.91, 1 Ca 2.99
Au (0.2994, 0.7006, 0.0000)  4 Au 2.84-2.99, 4 Mg 2.91, 1 Ca 2.99
Au (0.7006, 0.2994, 0.0000)  4 Au 2.84-2.99, 4 Mg 2.91, 1 Ca 2.99
Au (0.7006, 0.7006, 0.4012)  4 Au 2.84-2.99, 4 Mg 2.91, 1 Ca 2.99

Calculated values
**SG**: I4/mmm (139)
**Density**: 10.3 g/cm³

Energies, relative to the best one, in eV/atom: a) 0.046; b) 0.000.